{"formula": "VHW3", "functional": "PBE-GGA", "state": "optimized geometry", "mass_density_kg_m3": 15271, "e_tot_ev_per_atom": -9.919, "n_ef_per_ev_fu": 6.58, "polymorph_energy_mev_per_atom": 0, "lattice": [[4.033, 0.000, 0.000], [0.000, 4.033, 0.000], [0.000, 0.000, 4.033]], "species": ["V", "H", "W", "W", "W"], "frac_coords": [[0.000, 0.000, 0.000], [0.500, 0.500, 0.500], [0.000, 0.500, 0.500], [0.500, 0.000, 0.500], [0.500, 0.500, 0.000]]}

{"formula": "Li2CdSeO", "functional": "PBE-GGA", "state": "optimized geometry", "mass_density_kg_m3": 4876, "e_form_raw_mev_per_atom": -1239, "e_tot_ev_per_atom": -3.876, "n_ef_per_ev_fu": 0.20, "lattice": [[4.051, 0.000, 0.000], [0.000, 4.051, 0.000], [0.000, 0.000, 4.591]], "species": ["Li", "Li", "Cd", "Se", "O"], "frac_coords": [[0.000, 0.500, 0.000], [0.500, 0.000, 0.000], [0.000, 0.000, 0.500], [0.500, 0.500, 0.500], [0.000, 0.000, 0.000]]}

{"formula": "Tm8In2Os", "functional": "PBE-GGA", "state": "optimized geometry", "mass_density_kg_m3": 9969, "delta_e_f_ev_per_atom": -0.26, "e_tot_ev_per_atom": -5.031, "n_ef_per_ev_fu": 9.77, "lattice": [[8.698, -2.641, 0.000], [8.698, 2.641, 0.000], [-2.631, 0.000, 6.422]], "species": ["Tm", "Tm", "Tm", "Tm", "Tm", "Tm", "Tm", "Tm", "In", "In", "Os"], "frac_coords": [[0.013, 0.013, 0.282], [0.195, 0.195, 0.762], [0.355, 0.355, 0.571], [0.401, 0.401, 0.087], [0.599, 0.599, 0.913], [0.645, 0.645, 0.429], [0.805, 0.805, 0.238], [0.987, 0.987, 0.718], [0.180, 0.180, 0.194], [0.820, 0.820, 0.806], [0.500, 0.500, 0.500]]}

{"formula": "Tb7Dy2YCd2", "functional": "PBE-GGA", "state": "optimized geometry", "mass_density_kg_m3": 6942, "delta_e_f_ev_per_atom": 0.37, "e_tot_ev_per_atom": -3.785, "n_ef_per_ev_fu": 17.89, "lattice": [[3.290, -4.587, 0.000], [3.290, 4.587, 0.000], [-1.393, 0.000, 13.877]], "species": ["Tb", "Tb", "Tb", "Tb", "Tb", "Tb", "Tb", "Dy", "Dy", "Y", "Cd", "Cd"], "frac_coords": [[0.000, 0.000, 0.000], [0.031, 0.371, 0.783], [0.143, 0.143, 0.406], [0.371, 0.031, 0.783], [0.629, 0.969, 0.217], [0.857, 0.857, 0.594], [0.969, 0.629, 0.217], [0.293, 0.293, 0.196], [0.707, 0.707, 0.804], [0.500, 0.500, 0.000], [0.385, 0.385, 0.609], [0.615, 0.615, 0.391]]}

{"formula": "K2PmSmO4", "functional": "PBE-GGA", "state": "optimized geometry", "mass_density_kg_m3": 5142, "e_form_raw_mev_per_atom": -2655, "e_tot_ev_per_atom": -6.593, "n_ef_per_ev_fu": 0.00, "lattice": [[6.234, 0.000, 0.000], [0.000, 3.599, 0.000], [-2.076, 0.000, 6.298]], "species": ["K", "K", "Pm", "Sm", "O", "O", "O", "O"], "frac_coords": [[0.000, 0.000, 0.000], [0.500, 0.500, 0.000], [0.000, 0.500, 0.500], [0.500, 0.000, 0.500], [0.231, 0.000, 0.690], [0.272, 0.500, 0.311], [0.728, 0.500, 0.689], [0.769, 0.000, 0.310]]}

{"formula": "CrIrCl2", "functional": "PBE-GGA", "state": "optimized geometry", "mass_density_kg_m3": 9036, "e_form_raw_mev_per_atom": 1080, "e_tot_ev_per_atom": -4.465, "n_ef_per_ev_fu": 7.48, "polymorph_energy_mev_per_atom": 1261, "lattice": [[6.142, 0.000, 0.000], [0.000, 6.142, 0.000], [0.000, 0.000, 6.142]], "species": ["Cr", "Cr", "Cr", "Cr", "Ir", "Ir", "Ir", "Ir", "Cl", "Cl", "Cl", "Cl", "Cl", "Cl", "Cl", "Cl"], "frac_coords": [[0.000, 0.000, 0.000], [0.000, 0.500, 0.500], [0.500, 0.000, 0.500], [0.500, 0.500, 0.000], [0.000, 0.000, 0.500], [0.000, 0.500, 0.000], [0.500, 0.000, 0.000], [0.500, 0.500, 0.500], [0.250, 0.250, 0.250], [0.250, 0.250, 0.750], [0.250, 0.750, 0.250], [0.250, 0.750, 0.750], [0.750, 0.250, 0.250], [0.750, 0.250, 0.750], [0.750, 0.750, 0.250], [0.750, 0.750, 0.750]]}

{"formula": "SrLi2VS4", "functional": "PBE-GGA", "state": "optimized geometry", "mass_density_kg_m3": 2732, "e_form_raw_mev_per_atom": -1303, "e_tot_ev_per_atom": -5.195, "n_ef_per_ev_fu": 4.48, "lattice": [[6.612, 0.000, 0.000], [0.000, 6.612, 0.000], [0.000, 0.000, 7.806]], "species": ["Sr", "Sr", "Li", "Li", "Li", "Li", "V", "V", "S", "S", "S", "S", "S", "S", "S", "S"], "frac_coords": [[0.000, 0.000, 0.000], [0.500, 0.500, 0.500], [0.000, 0.500, 0.250], [0.000, 0.500, 0.750], [0.500, 0.000, 0.250], [0.500, 0.000, 0.750], [0.000, 0.000, 0.500], [0.500, 0.500, 0.000], [0.196, 0.196, 0.338], [0.196, 0.804, 0.662], [0.304, 0.304, 0.838], [0.304, 0.696, 0.162], [0.696, 0.304, 0.162], [0.696, 0.696, 0.838], [0.804, 0.196, 0.662], [0.804, 0.804, 0.338]]}

{"formula": "Cd12GaHg2", "functional": "PBE-GGA", "state": "optimized geometry", "mass_density_kg_m3": 8134, "delta_e_f_ev_per_atom": 0.07, "e_tot_ev_per_atom": -0.901, "n_ef_per_ev_fu": 5.86, "lattice": [[5.973, 0.000, 0.000], [0.000, 5.973, 0.000], [0.000, 0.000, 20.828]], "species": ["Cd", "Cd", "Cd", "Cd", "Cd", "Cd", "Cd", "Cd", "Cd", "Cd", "Cd", "Cd", "Cd", "Cd", "Cd", "Cd", "Cd", "Cd", "Cd", "Cd", "Cd", "Cd", "Cd", "Cd", "Ga", "Ga", "Hg", "Hg", "Hg", "Hg"], "frac_coords": [[0.000, 0.000, 0.093], [0.000, 0.000, 0.907], [0.000, 0.500, 0.093], [0.000, 0.500, 0.907], [0.074, 0.574, 0.434], [0.074, 0.926, 0.566], [0.250, 0.250, 0.198], [0.250, 0.250, 0.332], [0.250, 0.250, 0.668], [0.250, 0.250, 0.802], [0.426, 0.574, 0.566], [0.426, 0.926, 0.434], [0.500, 0.000, 0.093], [0.500, 0.000, 0.907], [0.500, 0.500, 0.093], [0.500, 0.500, 0.907], [0.574, 0.074, 0.566], [0.574, 0.426, 0.434], [0.750, 0.750, 0.198], [0.750, 0.750, 0.332], [0.750, 0.750, 0.668], [0.750, 0.750, 0.802], [0.926, 0.074, 0.434], [0.926, 0.426, 0.566], [0.250, 0.750, 0.000], [0.750, 0.250, 0.000], [0.250, 0.750, 0.258], [0.250, 0.750, 0.742], [0.750, 0.250, 0.258], [0.750, 0.250, 0.742]]}

{"formula": "CeAg2Br5", "functional": "PBE-GGA", "state": "optimized geometry", "mass_density_kg_m3": 4306, "e_form_raw_mev_per_atom": -1031, "e_tot_ev_per_atom": -3.531, "n_ef_per_ev_fu": 3.26, "lattice": [[5.930, 0.000, 0.000], [2.804, 6.998, 0.000], [2.759, -0.131, 7.019]], "species": ["Ce", "Ag", "Ag", "Br", "Br", "Br", "Br", "Br"], "frac_coords": [[0.000, 0.000, 0.000], [0.506, 0.533, 0.937], [0.523, 0.996, 0.509], [0.069, 0.651, 0.216], [0.299, 0.755, 0.649], [0.518, 0.989, 0.980], [0.736, 0.234, 0.344], [0.984, 0.337, 0.764]]}

{"formula": "BaBeSb2Te", "functional": "PBE-GGA", "state": "optimized geometry", "mass_density_kg_m3": 5918, "e_form_raw_mev_per_atom": -241, "e_tot_ev_per_atom": -3.648, "n_ef_per_ev_fu": 3.36, "polymorph_energy_mev_per_atom": 0, "lattice": [[5.040, 0.000, 0.000], [0.000, 5.040, 0.000], [0.000, 0.000, 5.716]], "species": ["Ba", "Be", "Sb", "Sb", "Te"], "frac_coords": [[0.000, 0.000, 0.000], [0.500, 0.500, 0.500], [0.000, 0.500, 0.500], [0.500, 0.000, 0.500], [0.500, 0.500, 0.000]]}

{"formula": "CePrAl", "functional": "PBE-GGA", "state": "optimized geometry", "mass_density_kg_m3": 6297, "delta_e_f_ev_per_atom": -0.12, "e_tot_ev_per_atom": -4.936, "n_ef_per_ev_fu": 6.91, "polymorph_energy_mev_per_atom": 86, "lattice": [[4.034, 0.000, 0.000], [0.000, 4.034, 0.000], [0.000, 0.000, 9.981]], "species": ["Ce", "Ce", "Pr", "Pr", "Al", "Al"], "frac_coords": [[0.000, 0.000, 0.000], [0.500, 0.500, 0.500], [0.000, 0.000, 0.692], [0.500, 0.500, 0.192], [0.000, 0.000, 0.349], [0.500, 0.500, 0.849]]}

{"formula": "Pm6ZnIr2I3", "functional": "PBE-GGA", "state": "optimized geometry", "mass_density_kg_m3": 7531, "e_form_raw_mev_per_atom": -836, "e_tot_ev_per_atom": -5.182, "n_ef_per_ev_fu": 7.58, "lattice": [[3.665, -6.340, 0.000], [3.665, 6.340, 0.000], [-2.444, 0.000, 8.068]], "species": ["Pm", "Pm", "Pm", "Pm", "Pm", "Pm", "Zn", "Ir", "Ir", "I", "I", "I"], "frac_coords": [[0.085, 0.436, 0.810], [0.211, 0.211, 0.188], [0.436, 0.085, 0.810], [0.564, 0.915, 0.190], [0.789, 0.789, 0.812], [0.915, 0.564, 0.190], [0.500, 0.500, 0.000], [0.167, 0.833, 0.000], [0.833, 0.167, 0.000], [0.000, 0.000, 0.500], [0.336, 0.664, 0.500], [0.664, 0.336, 0.500]]}

{"formula": "In2CoRu", "functional": "PBE-GGA", "state": "optimized geometry", "mass_density_kg_m3": 10059, "delta_e_f_ev_per_atom": 0.10, "e_tot_ev_per_atom": -5.360, "n_ef_per_ev_fu": 3.80, "lattice": [[3.194, 0.000, 0.000], [0.000, 3.194, 0.000], [0.000, 0.000, 6.306]], "species": ["In", "In", "Co", "Ru"], "frac_coords": [[0.000, 0.000, 0.243], [0.000, 0.000, 0.757], [0.500, 0.500, 0.000], [0.500, 0.500, 0.500]]}

{"formula": "Sm7Pd2Pt2", "functional": "PBE-GGA", "state": "optimized geometry", "mass_density_kg_m3": 8452, "delta_e_f_ev_per_atom": -0.54, "e_tot_ev_per_atom": -5.590, "n_ef_per_ev_fu": 11.79, "polymorph_energy_mev_per_atom": 191, "lattice": [[4.213, -5.414, 0.000], [4.213, 5.414, 0.000], [0.000, 0.000, 7.130]], "species": ["Sm", "Sm", "Sm", "Sm", "Sm", "Sm", "Sm", "Pd", "Pd", "Pt", "Pt"], "frac_coords": [[0.000, 0.000, 0.000], [0.000, 0.500, 0.261], [0.000, 0.500, 0.739], [0.500, 0.000, 0.261], [0.500, 0.000, 0.739], [0.500, 0.500, 0.257], [0.500, 0.500, 0.743], [0.219, 0.219, 0.500], [0.781, 0.781, 0.500], [0.281, 0.719, 0.000], [0.719, 0.281, 0.000]]}

{"formula": "Sm2Er4TmSc", "functional": "PBE-GGA", "state": "optimized geometry", "mass_density_kg_m3": 8073, "delta_e_f_ev_per_atom": 0.03, "e_tot_ev_per_atom": -4.777, "n_ef_per_ev_fu": 11.66, "lattice": [[4.967, 0.000, 0.000], [0.000, 4.967, 0.000], [0.000, 0.000, 9.867]], "species": ["Sm", "Sm", "Er", "Er", "Er", "Er", "Tm", "Sc"], "frac_coords": [[0.000, 0.000, 0.000], [0.500, 0.500, 0.500], [0.000, 0.500, 0.246], [0.000, 0.500, 0.754], [0.500, 0.000, 0.246], [0.500, 0.000, 0.754], [0.000, 0.000, 0.500], [0.500, 0.500, 0.000]]}

{"formula": "HgOsPb2", "functional": "PBE-GGA", "state": "optimized geometry", "mass_density_kg_m3": 14622, "delta_e_f_ev_per_atom": 0.90, "e_tot_ev_per_atom": -3.841, "n_ef_per_ev_fu": 2.79, "lattice": [[4.432, 0.000, 0.000], [0.000, 4.432, 0.000], [0.000, 0.000, 9.311]], "species": ["Hg", "Hg", "Os", "Os", "Pb", "Pb", "Pb", "Pb"], "frac_coords": [[0.000, 0.000, 0.000], [0.500, 0.500, 0.500], [0.000, 0.500, 0.250], [0.500, 0.000, 0.750], [0.000, 0.000, 0.500], [0.000, 0.500, 0.750], [0.500, 0.000, 0.250], [0.500, 0.500, 0.000]]}

{"formula": "RbAgICl", "functional": "PBE-GGA", "state": "optimized geometry", "mass_density_kg_m3": 4305, "e_form_raw_mev_per_atom": -995, "e_tot_ev_per_atom": -2.798, "lattice": [[5.377, 0.000, 0.000], [-2.688, 4.657, 0.000], [0.000, 0.000, 5.478]], "species": ["Rb", "Ag", "I", "Cl"], "frac_coords": [[0.000, 0.000, 0.000], [0.333, 0.667, 0.503], [0.667, 0.333, 0.504], [0.333, 0.667, 0.003]]}

{"formula": "Mg5Ni2Pb2", "functional": "PBE-GGA", "state": "optimized geometry", "mass_density_kg_m3": 5729, "delta_e_f_ev_per_atom": -0.10, "e_tot_ev_per_atom": -3.092, "n_ef_per_ev_fu": 3.93, "lattice": [[8.790, -3.214, 0.000], [8.790, 3.214, 0.000], [0.000, 0.000, 6.703]], "species": ["Mg", "Mg", "Mg", "Mg", "Mg", "Mg", "Mg", "Mg", "Mg", "Mg", "Ni", "Ni", "Ni", "Ni", "Pb", "Pb", "Pb", "Pb"], "frac_coords": [[0.000, 0.000, 0.000], [0.063, 0.723, 0.671], [0.223, 0.563, 0.171], [0.277, 0.937, 0.671], [0.437, 0.777, 0.171], [0.500, 0.500, 0.500], [0.563, 0.223, 0.829], [0.723, 0.063, 0.329], [0.777, 0.437, 0.829], [0.937, 0.277, 0.329], [0.122, 0.878, 0.374], [0.378, 0.622, 0.874], [0.622, 0.378, 0.126], [0.878, 0.122, 0.626], [0.232, 0.232, 0.000], [0.268, 0.268, 0.500], [0.732, 0.732, 0.500], [0.768, 0.768, 0.000]]}

{"formula": "KAsCl2", "functional": "PBE-GGA", "state": "optimized geometry", "mass_density_kg_m3": 3067, "e_form_raw_mev_per_atom": -464, "e_tot_ev_per_atom": -2.824, "n_ef_per_ev_fu": 1.97, "polymorph_energy_mev_per_atom": 363, "lattice": [[3.600, 0.000, 0.000], [-1.800, 3.118, 0.000], [0.000, 0.000, 26.754]], "species": ["K", "K", "K", "As", "As", "As", "Cl", "Cl", "Cl", "Cl", "Cl", "Cl"], "frac_coords": [[0.000, 0.000, 0.000], [0.333, 0.667, 0.667], [0.667, 0.333, 0.333], [0.000, 0.000, 0.500], [0.333, 0.667, 0.167], [0.667, 0.333, 0.833], [0.000, 0.000, 0.252], [0.000, 0.000, 0.748], [0.333, 0.667, 0.415], [0.333, 0.667, 0.918], [0.667, 0.333, 0.082], [0.667, 0.333, 0.585]]}

{"formula": "Sr3SmY2Te6", "functional": "PBE-GGA", "state": "optimized geometry", "mass_density_kg_m3": 5644, "e_form_raw_mev_per_atom": -1518, "e_tot_ev_per_atom": -4.979, "n_ef_per_ev_fu": 5.42, "lattice": [[9.989, -2.252, 0.000], [9.989, 2.252, 0.000], [-2.364, 0.000, 8.873]], "species": ["Sr", "Sr", "Sr", "Sm", "Y", "Y", "Te", "Te", "Te", "Te", "Te", "Te"], "frac_coords": [[0.000, 0.000, 0.000], [0.335, 0.335, 0.668], [0.665, 0.665, 0.332], [0.000, 0.000, 0.500], [0.335, 0.335, 0.172], [0.665, 0.665, 0.828], [0.165, 0.165, 0.593], [0.172, 0.172, 0.071], [0.496, 0.496, 0.255], [0.504, 0.504, 0.745], [0.828, 0.828, 0.929], [0.835, 0.835, 0.407]]}

{"formula": "Pd3Pt3Pb2", "functional": "PBE-GGA", "state": "optimized geometry", "mass_density_kg_m3": 15712, "delta_e_f_ev_per_atom": -0.21, "e_tot_ev_per_atom": -5.352, "n_ef_per_ev_fu": 2.20, "lattice": [[4.112, 0.000, 0.000], [0.000, 4.137, 0.000], [0.000, 0.000, 8.193]], "species": ["Pd", "Pd", "Pd", "Pt", "Pt", "Pt", "Pb", "Pb"], "frac_coords": [[0.000, 0.000, 0.000], [0.000, 0.000, 0.500], [0.500, 0.500, 0.000], [0.000, 0.500, 0.252], [0.000, 0.500, 0.748], [0.500, 0.500, 0.500], [0.500, 0.000, 0.248], [0.500, 0.000, 0.752]]}

{"formula": "Rb2CdSn3Pb4", "functional": "PBE-GGA", "state": "optimized geometry", "mass_density_kg_m3": 6688, "delta_e_f_ev_per_atom": -0.10, "e_tot_ev_per_atom": -3.067, "n_ef_per_ev_fu": 4.65, "lattice": [[5.239, 0.000, 0.000], [0.000, 5.239, 0.000], [0.000, 0.000, 13.285]], "species": ["Rb", "Rb", "Cd", "Sn", "Sn", "Sn", "Pb", "Pb", "Pb", "Pb"], "frac_coords": [[0.000, 0.500, 0.246], [0.500, 0.000, 0.754], [0.500, 0.500, 0.000], [0.000, 0.000, 0.000], [0.000, 0.500, 0.632], [0.500, 0.000, 0.368], [0.000, 0.000, 0.500], [0.000, 0.500, 0.872], [0.500, 0.000, 0.128], [0.500, 0.500, 0.500]]}

{"formula": "Sc2Ga3Cu5", "functional": "PBE-GGA", "state": "optimized geometry", "mass_density_kg_m3": 6807, "delta_e_f_ev_per_atom": -0.32, "e_tot_ev_per_atom": -4.541, "n_ef_per_ev_fu": 2.86, "lattice": [[2.097, -10.591, 0.000], [2.097, 10.591, 0.000], [0.000, 0.000, 6.775]], "species": ["Sc", "Sc", "Sc", "Sc", "Ga", "Ga", "Ga", "Ga", "Ga", "Ga", "Cu", "Cu", "Cu", "Cu", "Cu", "Cu", "Cu", "Cu", "Cu", "Cu"], "frac_coords": [[0.023, 0.977, 0.500], [0.311, 0.689, 0.345], [0.689, 0.311, 0.845], [0.977, 0.023, 0.000], [0.105, 0.895, 0.839], [0.295, 0.705, 0.765], [0.439, 0.561, 0.671], [0.561, 0.439, 0.171], [0.705, 0.295, 0.265], [0.895, 0.105, 0.339], [0.125, 0.875, 0.223], [0.192, 0.808, 0.545], [0.227, 0.773, 0.056], [0.382, 0.618, 0.000], [0.452, 0.548, 0.297], [0.548, 0.452, 0.797], [0.618, 0.382, 0.500], [0.773, 0.227, 0.556], [0.808, 0.192, 0.045], [0.875, 0.125, 0.723]]}